# 1
An optimized crystal structure of ZrTl3Ni. Source: Alexandria via LeMat-Bulk, functional PBE.

Output
total DFT energy (no corrections): -15.7 eV per cell
space group: Pm-3m
size of the total moment: 0.000 μB/atom

a b c (Å): 5.6373 5.6373 5.6373
angles (deg): 90.00 90.00 90.00
Last column: nearest neighbours and their distance in Å.
Positions (direct):
Ni  0.5000  0.5000  0.5000  12 Tl 3.99
Tl  0.0000  0.5000  0.0000  2 Zr 2.82
Tl  0.0000  0.0000  0.5000  2 Zr 2.82
Tl  0.5000  0.0000  0.0000  2 Zr 2.82
Zr  0.0000  0.0000  0.0000  6 Tl 2.82


# 2
An optimized crystal structure of CsCuAuF6. Source: Alexandria via LeMat-Bulk, functional PBE.

Output
total DFT energy (no corrections): -34.0 eV per cell
space group: P1
size of the total moment: 0.119 μB/atom
formation energy from raw total energies: -1.612 eV/atom

a b c (Å): 6.3209 5.7753 6.1079
angles (deg): 88.75 88.68 58.47
Last column: nearest neighbours and their distance in Å.
Positions (direct):
Cs  0.9932  0.0109  0.0047  6 F 2.87-3.12
Cu  0.6644  0.6657  0.4926  4 F 1.84-2.06
Au  0.3446  0.3055  0.5041  4 F 1.96-2.01
F  0.9070  0.4454  0.2926  1 Cu 1.84
F  0.3882  0.9807  0.6726  1 Au 2.01, 1 Cu 2.06
F  0.6768  0.4133  0.6902  1 Cu 1.84
F  0.0780  0.5776  0.6924  1 Au 1.96
F  0.3390  0.5993  0.3289  1 Au 1.97
F  0.6085  0.0016  0.3218  1 Au 2.01, 1 Cu 2.05


# 3
An optimized crystal structure of Tm7Cu2Rh2. Source: Alexandria via LeMat-Bulk, functional PBE.

Output
total DFT energy (no corrections): -57.3 eV per cell
space group: Cmmm
size of the total moment: 0.000 μB/atom

a b c (Å): 6.4698 6.9684 6.4698
angles (deg): 90.00 109.39 90.00
Last column: nearest neighbours and their distance in Å.
Positions (direct):
Tm  0.9998  0.2662  0.5003  2 Rh 2.67
Tm  0.5003  0.7338  0.9998  2 Rh 2.67
Tm  0.0002  0.7338  0.4997  2 Rh 2.67
Tm  0.4997  0.2662  0.0002  2 Rh 2.67
Tm  0.0000  0.0000  0.0000  2 Rh 3.09
Tm  0.5002  0.7406  0.4998  2 Rh 2.84, 2 Cu 2.95
Tm  0.4998  0.2594  0.5002  2 Rh 2.84, 2 Cu 2.95
Cu  0.8247  0.5000  0.8247  1 Cu 2.62
Cu  0.1753  0.5000  0.1753  1 Cu 2.62
Rh  0.7075  0.0000  0.2925  6 Tm 2.67-2.84
Rh  0.2925  0.0000  0.7075  6 Tm 2.67-2.84


# 4
An optimized crystal structure of Ti2ZnGe2. Source: Alexandria via LeMat-Bulk, functional PBE.

Output
relative energy among the computed polymorphs: 1.55 eV/f.u.
total DFT energy (no corrections): -26.6 eV per cell
space group: I4/mmm
size of the total moment: 0.000 μB/atom

a b c (Å): 3.5996 3.5996 7.2260
angles (deg): 75.58 75.58 90.00
Last column: nearest neighbours and their distance in Å.
Positions (direct):
Ge  0.7500  0.2500  0.5000  4 Ge 2.55, 4 Ti 2.71
Ge  0.2500  0.7500  0.5000  4 Ge 2.55, 4 Ti 2.71
Zn  0.0000  0.0000  0.0000  8 Ti 2.89
Ti  0.3995  0.3995  0.2010  4 Ge 2.71, 1 Ti 2.72, 4 Zn 2.89
Ti  0.6005  0.6005  0.7990  4 Ge 2.71, 1 Ti 2.72, 4 Zn 2.89


# 5
An optimized crystal structure of Er3Tl2Zn4. Source: Alexandria via LeMat-Bulk, functional PBE.

Output
total DFT energy (no corrections): -26.3 eV per cell
space group: C2/m
size of the total moment: 0.000 μB/atom

a b c (Å): 4.6277 5.8039 8.7938
angles (deg): 112.73 90.00 113.50
Last column: nearest neighbours and their distance in Å.
Positions (direct):
Er  0.6640  0.3281  0.6736  8 Zn 3.00-3.27, 4 Tl 3.17-3.30
Er  0.0000  0.0000  0.0000  8 Zn 3.13-3.38, 4 Tl 3.20
Er  0.3360  0.6719  0.3264  8 Zn 3.00-3.27, 4 Tl 3.17-3.30
Tl  0.6138  0.2276  0.2763  3 Zn 2.74-2.77
Tl  0.3862  0.7724  0.7237  3 Zn 2.74-2.77
Zn  0.7202  0.4404  0.0377  2 Zn 2.56, 1 Tl 2.77
Zn  0.2798  0.5596  0.9623  2 Zn 2.56, 1 Tl 2.77
Zn  0.9336  0.8672  0.5885  1 Zn 2.50, 2 Tl 2.74
Zn  0.0664  0.1328  0.4115  1 Zn 2.50, 2 Tl 2.74


# 6
An optimized crystal structure of Sc2CoPt. Source: Alexandria via LeMat-Bulk, functional PBE.

Output
total DFT energy (no corrections): -25.9 eV per cell
space group: R-3m
size of the total moment: 0.196 μB/atom

a b c (Å): 8.8969 8.8969 8.8969
angles (deg): 20.37 20.37 20.37
Last column: nearest neighbours and their distance in Å.
Positions (direct):
Sc  0.9121  0.9121  0.9121  1 Co 2.30
Sc  0.0879  0.0879  0.0879  1 Co 2.30
Co  0.0000  0.0000  0.0000  2 Sc 2.30
Pt  0.5000  0.5000  0.5000  6 Sc 2.74


# 7
An optimized crystal structure of Ac4PdRhCl2. Source: Alexandria via LeMat-Bulk, functional PBE.

Output
total DFT energy (no corrections): -42.5 eV per cell
space group: P2/m
size of the total moment: 0.000 μB/atom
formation energy from raw total energies: -1.224 eV/atom

a b c (Å): 4.3580 7.6146 8.4071
angles (deg): 108.11 90.00 90.00
Last column: nearest neighbours and their distance in Å.
Positions (direct):
Ac  0.5000  0.2431  0.2044  1 Rh 2.98, 2 Pd 3.02
Ac  0.5000  0.7569  0.7956  1 Rh 2.98, 2 Pd 3.02
Ac  0.0000  0.2704  0.7966  2 Rh 2.98, 1 Pd 3.06
Ac  0.0000  0.7296  0.2034  2 Rh 2.98, 1 Pd 3.06
Pd  0.0000  0.0000  0.0000  6 Ac 3.02-3.06
Rh  0.5000  0.5000  0.0000  6 Ac 2.98
Cl  0.5000  0.0000  0.5000  6 Ac 3.47-3.53
Cl  0.0000  0.5000  0.5000  6 Ac 3.42-3.46


# 8
An optimized crystal structure of ReSn2AuF. Source: Alexandria via LeMat-Bulk, functional PBE.

Output
total DFT energy (no corrections): -23.1 eV per cell
space group: P4/mmm
size of the total moment: 0.217 μB/atom
formation energy from raw total energies: 0.492 eV/atom

a b c (Å): 5.0328 4.0273 5.0328
angles (deg): 90.00 90.00 90.00
Last column: nearest neighbours and their distance in Å.
Positions (direct):
Re  0.0000  0.5000  0.0000  2 F 2.01
Au  0.5000  0.5000  0.5000  8 Sn 3.22, 4 Re 3.56
Sn  0.0000  0.0000  0.5000  2 F 2.52
Sn  0.5000  0.0000  0.0000  2 F 2.52
F  0.0000  0.0000  0.0000  2 Re 2.01


# 9
An optimized crystal structure of Ba4MnAu. Source: Alexandria via LeMat-Bulk, functional PBE.

Output
total DFT energy (no corrections): -15.8 eV per cell
space group: F-43m
size of the total moment: 0.471 μB/atom

a b c (Å): 7.1597 7.1597 7.1597
angles (deg): 60.00 60.00 60.00
Last column: nearest neighbours and their distance in Å.
Positions (direct):
Ba  0.8757  0.3748  0.3748  6 Ba 3.57-3.59
Ba  0.3748  0.3748  0.8757  6 Ba 3.57-3.59
Ba  0.3748  0.8757  0.3748  6 Ba 3.57-3.59
Ba  0.3748  0.3748  0.3748  6 Ba 3.57-3.59
Mn  0.7500  0.7500  0.7500  12 Ba 4.20, 4 Au 4.38
Au  0.0000  0.0000  0.0000  12 Ba 4.20, 4 Mn 4.38


# 10
An optimized crystal structure of Y2Pa2Se7. Source: Alexandria via LeMat-Bulk, functional PBE.

Output
relative energy among the computed polymorphs: 0.00 eV/f.u.
total DFT energy (no corrections): -73.7 eV per cell
space group: Imm2
size of the total moment: 0.149 μB/atom
formation energy from raw total energies: -1.577 eV/atom

a b c (Å): 4.0308 8.8863 8.8863
angles (deg): 61.25 76.89 76.89
Last column: nearest neighbours and their distance in Å.
Positions (direct):
Y  0.0000  0.7829  0.2171  8 Se 2.87-3.07
Y  0.5000  0.3225  0.6775  7 Se 2.83-3.02
Pa  0.7394  0.8540  0.6672  7 Se 2.85-3.01
Pa  0.2606  0.3328  0.1460  7 Se 2.85-3.01
Se  0.8173  0.0736  0.2917  3 Pa 2.85-2.93, 1 Y 2.87
Se  0.8584  0.4235  0.8597  2 Y 2.93, 2 Pa 3.01
Se  0.5000  0.0104  0.9896  3 Y 2.83-2.88
Se  0.6110  0.4918  0.2861  2 Pa 2.99, 3 Y 3.02-3.07, 1 Se 3.28
Se  0.3890  0.7139  0.5082  2 Pa 2.99, 3 Y 3.02-3.07, 1 Se 3.28
Se  0.1827  0.7083  0.9264  3 Pa 2.85-2.93, 1 Y 2.87
Se  0.1416  0.1403  0.5765  2 Y 2.93, 2 Pa 3.01


# 11
An optimized crystal structure of CaPm6Co2. Source: Alexandria via LeMat-Bulk, functional PBE.

Output
total DFT energy (no corrections): -89.2 eV per cell
space group: Immm
size of the total moment: 0.000 μB/atom

a b c (Å): 8.8119 8.8119 8.8119
angles (deg): 110.12 111.86 106.48
Last column: nearest neighbours and their distance in Å.
Positions (direct):
Ca  0.0000  0.5000  0.5000  12 Pm 3.61-3.85
Ca  0.0000  0.0000  0.0000  8 Pm 3.26-3.55
Pm  0.5139  0.8128  0.7012  2 Co 3.01
Pm  0.4861  0.1872  0.2988  2 Co 3.01
Pm  0.1116  0.8128  0.2988  2 Co 3.01
Pm  0.8884  0.1872  0.7012  2 Co 3.01
Pm  0.7709  0.9873  0.2164  1 Co 2.75
Pm  0.2291  0.0127  0.7836  1 Co 2.75
Pm  0.2291  0.4455  0.2164  1 Co 2.75
Pm  0.7709  0.5545  0.7836  1 Co 2.75
Pm  0.6931  0.3064  0.9994  3 Co 2.75-2.97
Pm  0.3069  0.6936  0.0006  3 Co 2.75-2.97
Pm  0.3069  0.3064  0.6133  3 Co 2.75-2.97
Pm  0.6931  0.6936  0.3867  3 Co 2.75-2.97
Co  0.5000  0.1098  0.6098  1 Co 2.22
Co  0.5000  0.8902  0.3902  1 Co 2.22
Co  0.6119  0.6119  0.0000  1 Co 2.36
Co  0.3881  0.3881  0.0000  1 Co 2.36


# 12
An optimized crystal structure of GdTm2Ni. Source: Alexandria via LeMat-Bulk, functional PBE.

Output
relative energy among the computed polymorphs: 0.41 eV/f.u.
total DFT energy (no corrections): -29.2 eV per cell
space group: R-3m
size of the total moment: 1.983 μB/atom

a b c (Å): 3.7255 3.7255 9.3718
angles (deg): 78.54 78.54 60.00
Last column: nearest neighbours and their distance in Å.
Positions (direct):
Gd  0.5000  0.5000  0.5000  6 Tm 3.68, 6 Gd 3.73
Ni  0.0000  0.0000  0.0000  6 Tm 2.67
Tm  0.2757  0.2757  0.1730  3 Ni 2.67
Tm  0.7243  0.7243  0.8270  3 Ni 2.67


Repeat the fifth record exactly.
An optimized crystal structure of Er3Tl2Zn4. Source: Alexandria via LeMat-Bulk, functional PBE.

Output
total DFT energy (no corrections): -26.3 eV per cell
space group: C2/m
size of the total moment: 0.000 μB/atom

a b c (Å): 4.6277 5.8039 8.7938
angles (deg): 112.73 90.00 113.50
Last column: nearest neighbours and their distance in Å.
Positions (direct):
Er  0.6640  0.3281  0.6736  8 Zn 3.00-3.27, 4 Tl 3.17-3.30
Er  0.0000  0.0000  0.0000  8 Zn 3.13-3.38, 4 Tl 3.20
Er  0.3360  0.6719  0.3264  8 Zn 3.00-3.27, 4 Tl 3.17-3.30
Tl  0.6138  0.2276  0.2763  3 Zn 2.74-2.77
Tl  0.3862  0.7724  0.7237  3 Zn 2.74-2.77
Zn  0.7202  0.4404  0.0377  2 Zn 2.56, 1 Tl 2.77
Zn  0.2798  0.5596  0.9623  2 Zn 2.56, 1 Tl 2.77
Zn  0.9336  0.8672  0.5885  1 Zn 2.50, 2 Tl 2.74
Zn  0.0664  0.1328  0.4115  1 Zn 2.50, 2 Tl 2.74